1.
Compound: SrPtAu
Source: Alexandria
Functional: PBE
Structure: optimized geometry

Output
Fermi-level density of states = 0.521 states/eV per atom
space-group type = P-6m2
crystal system = hexagonal

Cell lengths 4.6139, 4.6139, 4.1015 Å; angles 90.00, 90.00, 120.00 degrees
Sites, in units of the cell vectors:
Au 0.0000 0.0000 0.1667
Sr 0.3333 0.6667 0.6667
Pt 0.6667 0.3333 0.1666

***

2.
Compound: SrPtAu2
Source: Alexandria
Functional: PBE
Structure: optimized geometry

Output
Fermi-level density of states = 0.217 states/eV per atom
space-group type = P4/mmm
crystal system = tetragonal

Cell lengths 4.4180, 4.4180, 4.2320 Å; angles 90.00, 90.00, 90.00 degrees
Sites, in units of the cell vectors:
Pt 0.5000 0.0000 0.5000
Au 0.5000 0.5000 0.0000
Sr 0.0000 0.5000 0.5000
Au 0.0000 0.0000 0.0000

***

Going through the records in order, we get offset from the most stable computed form values of 21; 44 kJ/mol of formula units.
Going through the records in order, we get total moment values of 0.00; 0.00 Bohr magnetons per cell.
Going through the records in order, we get energy relative to the elements values of -673; -404 meV per atom.